Material: MnIrPd
Method: DFT, GGA-PBE
State: relaxed

Geometry as POSCAR:
```
MnIrPd
1.0
-2.2767 -1.4142 -0.7622
1.5860 -1.7677 -1.4574
0.8569 -1.6545 5.6032
Mn Ir Pd
1 1 1
Direct
0.6722 0.6722 0.3444
0.3224 0.3224 0.6447
0.0054 0.0054 0.0109
```

The value obtained for the energy is -23.38 eV/cell. The energy of formation comes out at -51 meV per atom. Its crystal system is tetragonal. As for the relative energy among the computed polymorphs: 1.8 kJ per mole of atoms.

Material: MnIrPd
Method: DFT, GGA-PBE
State: relaxed

Geometry as POSCAR:
```
MnIrPd
1.0
3.7038 0.0000 0.0000
0.0000 3.9192 0.0000
-1.8519 0.0000 5.9257
Mn Pd Ir
2 2 2
Direct
0.0832 0.7500 0.1664
0.9168 0.2500 0.8336
0.2529 0.2500 0.5058
0.7471 0.7500 0.4942
0.5783 0.2500 0.1566
0.4217 0.7500 0.8434
```

The value obtained for the energy is -46.86 eV/cell. The energy of formation comes out at -69 meV per atom. Its crystal system is orthorhombic. As for the relative energy among the computed polymorphs: 0.0 kJ per mole of atoms.

Material: MnIrPd2
Method: DFT, GGA-PBE
State: relaxed

Geometry as POSCAR:
```
MnIrPd2
1.0
3.1668 -2.8808 0.6304
0.3568 -2.0246 3.8077
-0.9374 -4.2134 0.3064
Ir Mn Pd
1 1 2
Direct
0.5000 0.5000 0.5000
0.0000 0.0000 0.0000
0.7500 0.7500 0.7500
0.2500 0.2500 0.2500
```

The value obtained for the energy is -26.54 eV/cell. The energy of formation comes out at 468 meV per atom. Its crystal system is cubic.